<w>
{"formula": "ReBrCl3", "functional": "PBE-GGA", "state": "optimized geometry", "m_tot_mub_per_cell": 1.30, "cell": [[-2.317, -3.759, -1.832], [1.663, -2.750, 3.540], [-3.837, 1.078, 2.640]], "species": ["Re", "Br", "Cl", "Cl", "Cl"], "fractional_positions": [[0.000, 0.000, 0.000], [0.500, 0.500, 0.500], [0.000, 0.500, 0.000], [0.000, 0.000, 0.500], [0.500, 0.000, 0.000]]}

<x>
{"formula": "ReBrCl3", "functional": "PBE-GGA", "state": "optimized geometry", "m_tot_mub_per_cell": 2.00, "cell": [[-0.659, 2.634, 6.836], [-7.225, 0.278, -1.353], [4.227, -6.019, 0.092]], "species": ["Re", "Re", "Br", "Br", "Cl", "Cl", "Cl", "Cl", "Cl", "Cl"], "fractional_positions": [[0.000, 0.300, 0.300], [0.000, 0.700, 0.700], [0.828, 0.828, 0.000], [0.172, 0.172, 0.000], [0.805, 0.305, 0.500], [0.195, 0.695, 0.500], [0.730, 0.269, 0.998], [0.730, 0.731, 0.461], [0.270, 0.731, 0.002], [0.270, 0.269, 0.539]]}

<y>
{"formula": "ReBrCl3", "functional": "PBE-GGA", "state": "optimized geometry", "m_tot_mub_per_cell": 12.01, "cell": [[5.982, 0.000, 0.000], [0.000, 9.724, 2.255], [0.000, 0.831, 10.443]], "species": ["Re", "Re", "Re", "Re", "Br", "Br", "Br", "Br", "Cl", "Cl", "Cl", "Cl", "Cl", "Cl", "Cl", "Cl", "Cl", "Cl", "Cl", "Cl"], "fractional_positions": [[0.483, 0.429, 0.186], [0.517, 0.571, 0.814], [0.983, 0.071, 0.314], [0.017, 0.929, 0.686], [0.704, 0.462, 0.367], [0.296, 0.538, 0.633], [0.204, 0.038, 0.133], [0.796, 0.962, 0.867], [0.248, 0.257, 0.342], [0.752, 0.743, 0.658], [0.748, 0.243, 0.158], [0.252, 0.757, 0.842], [0.237, 0.600, 0.191], [0.763, 0.400, 0.809], [0.737, 0.900, 0.309], [0.263, 0.100, 0.691], [0.795, 0.096, 0.518], [0.205, 0.904, 0.482], [0.295, 0.404, 0.982], [0.705, 0.596, 0.018]]}

<z>
{"formula": "ReBrCl3", "functional": "PBE-GGA", "state": "optimized geometry", "m_tot_mub_per_cell": 5.99, "cell": [[-4.683, 1.727, 1.816], [-1.158, -4.905, 1.677], [2.222, 1.083, 4.701]], "species": ["Re", "Br", "Cl", "Cl", "Cl"], "fractional_positions": [[0.500, 0.500, 0.500], [0.000, 0.000, 0.000], [0.000, 0.500, 0.000], [0.000, 0.000, 0.500], [0.500, 0.000, 0.000]]}

<x> comes first in stability; the runner-up is 80 meV per atom higher.

<w>
{"formula": "ReBrCl4", "functional": "PBE-GGA", "state": "optimized geometry", "m_tot_mub_per_cell": 4.21, "cell": [[0.000, 4.078, 4.078], [4.078, 0.000, 4.078], [4.078, 4.078, 0.000]], "species": ["Re", "Br", "Cl", "Cl", "Cl", "Cl"], "fractional_positions": [[0.750, 0.750, 0.750], [0.000, 0.000, 0.000], [0.376, 0.873, 0.376], [0.873, 0.376, 0.376], [0.376, 0.376, 0.873], [0.376, 0.376, 0.376]]}

<x>
{"formula": "ReBrCl4", "functional": "PBE-GGA", "state": "optimized geometry", "m_tot_mub_per_cell": 4.03, "cell": [[2.216, -6.155, -13.071], [3.259, -11.217, -12.315], [-6.616, -1.430, -0.448]], "species": ["Re", "Re", "Br", "Br", "Cl", "Cl", "Cl", "Cl", "Cl", "Cl", "Cl", "Cl"], "fractional_positions": [[0.000, 0.000, 0.000], [0.000, 0.500, 0.500], [0.500, 0.500, 0.000], [0.500, 0.000, 0.500], [0.157, 0.927, 0.710], [0.843, 0.573, 0.210], [0.264, 0.378, 0.328], [0.736, 0.122, 0.828], [0.843, 0.073, 0.290], [0.157, 0.427, 0.790], [0.736, 0.622, 0.672], [0.264, 0.878, 0.172]]}

<x> comes first in stability; the runner-up is 1697 meV per atom higher.

<w>
{"formula": "ReS2BrCl", "functional": "PBE-GGA", "state": "optimized geometry", "m_tot_mub_per_cell": 0.00, "cell": [[-0.124, 3.650, 2.821], [-3.957, -1.535, 1.812], [2.502, -2.499, 3.345]], "species": ["Re", "S", "S", "Br", "Cl"], "fractional_positions": [[0.000, 0.000, 0.000], [0.000, 0.500, 0.000], [0.500, 0.000, 0.000], [0.500, 0.500, 0.500], [0.000, 0.000, 0.500]]}

<x>
{"formula": "ReS2BrCl", "functional": "PBE-GGA", "state": "optimized geometry", "m_tot_mub_per_cell": 5.19, "cell": [[-1.874, -2.161, 4.009], [-3.864, -1.540, -2.637], [2.451, -4.219, -1.129]], "species": ["Re", "S", "S", "Br", "Cl"], "fractional_positions": [[0.500, 0.500, 0.500], [0.000, 0.500, 0.000], [0.500, 0.000, 0.000], [0.000, 0.000, 0.000], [0.000, 0.000, 0.500]]}

<w> comes first in stability; the runner-up is 1523 meV per atom higher.

<w>
{"formula": "ReSeBr2Cl", "functional": "PBE-GGA", "state": "optimized geometry", "m_tot_mub_per_cell": 4.98, "cell": [[-4.411, -1.665, -1.942], [2.533, -3.385, -2.851], [-0.382, -3.657, 4.002]], "species": ["Re", "Se", "Br", "Br", "Cl"], "fractional_positions": [[0.500, 0.500, 0.500], [0.000, 0.000, 0.500], [0.000, 0.500, 0.000], [0.500, 0.000, 0.000], [0.000, 0.000, 0.000]]}

<x>
{"formula": "ReSeBr2Cl", "functional": "PBE-GGA", "state": "optimized geometry", "m_tot_mub_per_cell": 0.00, "cell": [[-2.723, -4.198, 0.998], [1.684, 0.053, 4.816], [-3.722, 2.717, 1.271]], "species": ["Re", "Se", "Br", "Br", "Cl"], "fractional_positions": [[0.000, 0.000, 0.000], [0.000, 0.000, 0.500], [0.000, 0.500, 0.000], [0.500, 0.000, 0.000], [0.500, 0.500, 0.500]]}

<x> comes first in stability; the runner-up is 1216 meV per atom higher.